Mn2FeO after structural relaxation. Source: Alexandria, functional PBE+U.

Cell: 6.2355 6.2355 5.6225 Å, 56.32 56.32 90.00°
With the nearest neighbours (Å) after each atom.
Fractional positions:
Mn 0.5394 0.1250 0.2500  2 O 2.06
Mn 0.2106 0.6250 0.2500  2 O 2.06
Mn 0.3750 0.4606 0.7500  2 O 2.06
Mn 0.8750 0.7894 0.7500  2 O 2.06
Fe 0.0000 0.0000 0.0000  4 Mn 2.75
Fe 0.7500 0.2500 0.5000  4 Mn 2.75
O 0.5000 0.5000 0.0000  4 Mn 2.06
O 0.2500 0.7500 0.5000  4 Mn 2.06

Polymorph energy (0 for the lowest one) in eV per formula unit: 0.00
Volume in Å³/atom: 16.956
SG: No. 122
Crystal system: tetragonal
Electronic total energy in eV/atom: -6.09
Total magnetization in μB/cell: 16.7